An optimized crystal structure of Sm5TlHg4. Source: Alexandria, functional PBE.

Lattice parameters (Å, degrees): 3.790 3.790 19.252 90.00 90.00 90.00
Atoms (fractional coordinates):
1 Sm 0.000 0.000 0.000
2 Sm 0.000 0.000 0.197
3 Sm 0.000 0.000 0.394
4 Sm 0.000 0.000 0.606
5 Sm 0.000 0.000 0.803
6 Tl 0.500 0.500 0.500
7 Hg 0.500 0.500 0.099
8 Hg 0.500 0.500 0.296
9 Hg 0.500 0.500 0.704
10 Hg 0.500 0.500 0.901

Output
Calculated total energy ... -31.7 eV for the cell shown
DFT formation energy ... -452 meV/atom
D(E_F) ... 1.2196 states/eV/atom


An optimized crystal structure of Sm3TlHg4. Source: Alexandria, functional PBE.

Lattice parameters (Å, degrees): 9.440 9.440 9.440 32.39 32.39 32.39
Atoms (fractional coordinates):
1 Sm 0.000 0.000 0.000
2 Sm 0.241 0.241 0.241
3 Sm 0.759 0.759 0.759
4 Tl 0.500 0.500 0.500
5 Hg 0.119 0.119 0.119
6 Hg 0.368 0.368 0.368
7 Hg 0.632 0.632 0.632
8 Hg 0.881 0.881 0.881

Output
Calculated total energy ... -21.0 eV for the cell shown
DFT formation energy ... -407 meV/atom
D(E_F) ... 0.7532 states/eV/atom
Energy relative to the lowest polymorph listed for this composition ... 0.000 eV per atom


An optimized crystal structure of Sm6TlHg8. Source: Alexandria, functional PBE.

Lattice parameters (Å, degrees): 8.162 8.162 8.162 66.55 66.55 66.55
Atoms (fractional coordinates):
1 Sm 0.111 0.375 0.815
2 Sm 0.185 0.889 0.625
3 Sm 0.375 0.815 0.111
4 Sm 0.625 0.185 0.889
5 Sm 0.815 0.111 0.375
6 Sm 0.889 0.625 0.185
7 Tl 0.500 0.500 0.500
8 Hg 0.053 0.682 0.439
9 Hg 0.202 0.202 0.202
10 Hg 0.318 0.561 0.947
11 Hg 0.439 0.053 0.682
12 Hg 0.561 0.947 0.318
13 Hg 0.682 0.439 0.053
14 Hg 0.798 0.798 0.798
15 Hg 0.947 0.318 0.561

Output
Calculated total energy ... -38.0 eV for the cell shown
DFT formation energy ... -326 meV/atom
D(E_F) ... 0.8775 states/eV/atom


An optimized crystal structure of Sm2Tl2Hg3. Source: Alexandria, functional PBE.

Lattice parameters (Å, degrees): 5.143 5.148 8.583 72.60 72.62 60.21
Atoms (fractional coordinates):
1 Sm 0.081 0.080 0.252
2 Sm 0.919 0.920 0.748
3 Tl 0.352 0.352 0.442
4 Tl 0.648 0.648 0.558
5 Hg 0.213 0.216 0.863
6 Hg 0.500 0.500 0.000
7 Hg 0.787 0.784 0.137

Output
Calculated total energy ... -17.2 eV for the cell shown
DFT formation energy ... -306 meV/atom
D(E_F) ... 0.6052 states/eV/atom
Energy relative to the lowest polymorph listed for this composition ... 0.000 eV per atom


An optimized crystal structure of Sm6TlHg5. Source: Alexandria, functional PBE.

Lattice parameters (Å, degrees): 5.364 7.662 8.496 90.00 108.45 90.00
Atoms (fractional coordinates):
1 Sm 0.000 0.246 0.000
2 Sm 0.000 0.754 0.000
3 Sm 0.333 0.248 0.664
4 Sm 0.333 0.752 0.664
5 Sm 0.667 0.248 0.336
6 Sm 0.667 0.752 0.336
7 Tl 0.500 0.500 0.000
8 Hg 0.165 0.500 0.332
9 Hg 0.166 0.000 0.333
10 Hg 0.500 0.000 0.000
11 Hg 0.834 0.000 0.667
12 Hg 0.835 0.500 0.668

Output
Calculated total energy ... -37.6 eV for the cell shown
DFT formation energy ... -455 meV/atom
D(E_F) ... 1.2098 states/eV/atom
Energy relative to the lowest polymorph listed for this composition ... 0.000 eV per atom


An optimized crystal structure of Sm6Tl3Hg. Source: Alexandria, functional PBE.

Lattice parameters (Å, degrees): 11.734 3.841 14.755 90.00 109.64 90.00
Atoms (fractional coordinates):
1 Sm 0.005 0.250 0.166
2 Sm 0.095 0.750 0.404
3 Sm 0.242 0.250 0.835
4 Sm 0.324 0.250 0.258
5 Sm 0.359 0.250 0.614
6 Sm 0.397 0.750 0.050
7 Sm 0.603 0.250 0.950
8 Sm 0.641 0.750 0.386
9 Sm 0.676 0.750 0.742
10 Sm 0.758 0.750 0.165
11 Sm 0.905 0.250 0.596
12 Sm 0.995 0.750 0.834
13 Tl 0.137 0.750 0.638
14 Tl 0.157 0.250 0.023
15 Tl 0.384 0.750 0.444
16 Tl 0.616 0.250 0.556
17 Tl 0.843 0.750 0.977
18 Tl 0.863 0.250 0.362
19 Hg 0.434 0.750 0.798
20 Hg 0.566 0.250 0.202

Output
Calculated total energy ... -75.8 eV for the cell shown
DFT formation energy ... -216 meV/atom
D(E_F) ... 1.2212 states/eV/atom
Energy relative to the lowest polymorph listed for this composition ... 0.080 eV per atom


An optimized crystal structure of Sm4TlHg3. Source: Alexandria, functional PBE.

Lattice parameters (Å, degrees): 3.881 4.925 11.958 90.00 90.00 90.00
Atoms (fractional coordinates):
1 Sm 0.000 0.000 0.000
2 Sm 0.000 0.500 0.286
3 Sm 0.500 0.000 0.490
4 Sm 0.500 0.500 0.790
5 Tl 0.000 0.000 0.725
6 Hg 0.000 0.500 0.555
7 Hg 0.500 0.000 0.224
8 Hg 0.500 0.500 0.057

Output
Calculated total energy ... -25.4 eV for the cell shown
DFT formation energy ... -410 meV/atom
D(E_F) ... 1.0465 states/eV/atom
Energy relative to the lowest polymorph listed for this composition ... 0.038 eV per atom


An optimized crystal structure of SmTlHg2. Source: Alexandria, functional PBE.

Lattice parameters (Å, degrees): 9.352 9.352 9.352 23.87 23.87 23.87
Atoms (fractional coordinates):
1 Sm 0.000 0.000 0.000
2 Tl 0.833 0.833 0.833
3 Hg 0.416 0.416 0.416
4 Hg 0.584 0.584 0.584

Output
Calculated total energy ... -8.4 eV for the cell shown
DFT formation energy ... -172 meV/atom
D(E_F) ... 0.5452 states/eV/atom


An optimized crystal structure of Sm2Tl4Hg. Source: Alexandria, functional PBE.

Lattice parameters (Å, degrees): 7.642 7.642 7.642 134.71 134.71 65.98
Atoms (fractional coordinates):
1 Sm 0.145 0.145 0.000
2 Sm 0.855 0.855 0.000
3 Tl 0.000 0.500 0.500
4 Tl 0.250 0.750 0.500
5 Tl 0.500 0.000 0.500
6 Tl 0.750 0.250 0.500
7 Hg 0.500 0.500 0.000

Output
Calculated total energy ... -19.4 eV for the cell shown
DFT formation energy ... -32 meV/atom
D(E_F) ... 0.7676 states/eV/atom


An optimized crystal structure of Sm3Tl2Hg6. Source: Alexandria, functional PBE.

Lattice parameters (Å, degrees): 15.825 15.825 15.825 163.36 163.36 23.61
Atoms (fractional coordinates):
1 Sm 0.000 0.000 0.000
2 Sm 0.151 0.151 0.000
3 Sm 0.849 0.849 0.000
4 Tl 0.353 0.353 0.000
5 Tl 0.647 0.647 0.000
6 Hg 0.072 0.572 0.500
7 Hg 0.253 0.253 0.000
8 Hg 0.428 0.928 0.500
9 Hg 0.572 0.072 0.500
10 Hg 0.747 0.747 0.000
11 Hg 0.928 0.428 0.500

Output
Calculated total energy ... -22.5 eV for the cell shown
DFT formation energy ... -164 meV/atom
D(E_F) ... 0.8169 states/eV/atom


An optimized crystal structure of Sm2Tl2Hg. Source: Alexandria, functional PBE.

Lattice parameters (Å, degrees): 6.297 6.297 11.238 113.50 113.50 45.20
Atoms (fractional coordinates):
1 Sm 0.019 0.019 0.328
2 Sm 0.177 0.177 0.094
3 Sm 0.823 0.823 0.906
4 Sm 0.981 0.981 0.672
5 Tl 0.354 0.354 0.454
6 Tl 0.460 0.460 0.115
7 Tl 0.540 0.540 0.885
8 Tl 0.646 0.646 0.546
9 Hg 0.267 0.267 0.697
10 Hg 0.733 0.733 0.303

Output
Calculated total energy ... -32.2 eV for the cell shown
DFT formation energy ... -329 meV/atom
D(E_F) ... 0.7105 states/eV/atom
Energy relative to the lowest polymorph listed for this composition ... 0.000 eV per atom


An optimized crystal structure of Sm4Tl2Hg3. Source: Alexandria, functional PBE.

Lattice parameters (Å, degrees): 8.792 8.792 9.157 90.00 90.00 130.64
Atoms (fractional coordinates):
1 Sm 0.189 0.811 0.957
2 Sm 0.223 0.277 0.750
3 Sm 0.277 0.223 0.250
4 Sm 0.311 0.689 0.457
5 Sm 0.689 0.311 0.543
6 Sm 0.723 0.777 0.750
7 Sm 0.777 0.723 0.250
8 Sm 0.811 0.189 0.043
9 Tl 0.113 0.887 0.561
10 Tl 0.387 0.613 0.061
11 Tl 0.613 0.387 0.939
12 Tl 0.887 0.113 0.439
13 Hg 0.000 0.000 0.000
14 Hg 0.031 0.469 0.750
15 Hg 0.469 0.031 0.250
16 Hg 0.500 0.500 0.500
17 Hg 0.531 0.969 0.750
18 Hg 0.969 0.531 0.250

Output
Calculated total energy ... -53.9 eV for the cell shown
DFT formation energy ... -273 meV/atom
D(E_F) ... 0.8836 states/eV/atom
Energy relative to the lowest polymorph listed for this composition ... 0.073 eV per atom